i:
## CrHgSb2 (GGA-PBEsol)

Data for an optimized crystal structure of CrHgSb2.

Output
The symmetry is Fm-3m, No. 225.

Cell: 5.0189 5.0189 5.0189 Å, 60.00 60.00 60.00°
Last column: nearest neighbours and their distance in Å.
Fractional coordinates of all 4 atoms:
1 Cr 0.0000 0.0000 0.0000  8 Sb 3.07
2 Hg 0.5000 0.5000 0.5000  8 Sb 3.07
3 Sb 0.7500 0.7500 0.7500  4 Cr 3.07, 4 Hg 3.07
4 Sb 0.2500 0.2500 0.2500  4 Hg 3.07, 4 Cr 3.07

***

ii:
## CrHgSb2 (GGA-PBEsol)

Data for an optimized crystal structure of CrHgSb2.

Output
The symmetry is Cmmm, No. 65.

Cell: 3.3148 5.2350 5.2350 Å, 101.54 90.00 90.00°
Last column: nearest neighbours and their distance in Å.
Fractional coordinates of all 4 atoms:
1 Cr 0.5000 0.0000 0.0000  8 Sb 3.10, 2 Hg 3.31, 2 Cr 3.31
2 Hg 0.5000 0.5000 0.5000  8 Sb 3.10, 2 Cr 3.31, 2 Hg 3.31
3 Sb 0.0000 0.5000 0.0000  4 Cr 3.10, 4 Hg 3.10, 4 Sb 3.31
4 Sb 0.0000 0.0000 0.5000  4 Hg 3.10, 4 Cr 3.10, 4 Sb 3.31

***

iii:
## CrHgSb2 (GGA-PBEsol)

Data for an optimized crystal structure of CrHgSb2.

Output
The symmetry is Imm2, No. 44.

Cell: 3.1885 4.3411 7.0799 Å, 107.82 103.01 90.00°
Last column: nearest neighbours and their distance in Å.
Fractional coordinates of all 4 atoms:
1 Cr 0.5130 0.5128 0.0261  6 Sb 2.71-2.77
2 Hg 0.8126 0.3129 0.6251  2 Cr 3.07, 6 Sb 3.16, 2 Hg 3.19
3 Sb 0.9881 0.9879 0.9762  4 Cr 2.71
4 Sb 0.1863 0.6864 0.3727  2 Cr 2.77

***

Energy comparison, zero being the most stable, in eV/atom: i 0.160; ii 0.098; iii 0.000.